Record 1
The following is a DFT calculation (PBE) of a relaxed structure of Ca2AlTcO6.

Output
VASP energy (eV per cell): -72.0

abc: 5.436 5.436 3.822
angles: 90.00 90.00 90.00
Sites, in units of the cell vectors:
1 Ca 0.000 0.500 0.000
2 Ca 0.500 0.000 0.000
3 Al 0.000 0.000 0.500
4 Tc 0.500 0.500 0.500
5 O 0.000 0.000 0.000
6 O 0.246 0.246 0.500
7 O 0.246 0.754 0.500
8 O 0.500 0.500 0.000
9 O 0.754 0.246 0.500
10 O 0.754 0.754 0.500


Record 2
The following is a DFT calculation (PBE) of a relaxed structure of Sm4Dy5Ho.

Output
Offset from the most stable computed form (meV per atom): 62

abc: 8.081 8.081 8.081
angles: 97.76 97.76 136.87
Sites, in units of the cell vectors:
1 Sm 0.000 0.323 0.323
2 Sm 0.000 0.677 0.677
3 Sm 0.323 0.000 0.323
4 Sm 0.677 0.000 0.677
5 Dy 0.238 0.238 0.000
6 Dy 0.312 0.312 0.622
7 Dy 0.312 0.690 0.000
8 Dy 0.690 0.312 0.000
9 Dy 0.690 0.690 0.378
10 Ho 0.764 0.764 0.000


Record 3
The following is a DFT calculation (PBE) of a relaxed structure of Cs3CaMg2I9.

Output
VASP energy (eV per cell): -41.7

abc: 8.500 8.500 10.424
angles: 90.00 90.00 120.00
Sites, in units of the cell vectors:
1 Cs 0.000 0.000 0.000
2 Cs 0.333 0.667 0.670
3 Cs 0.667 0.333 0.330
4 Ca 0.000 0.000 0.500
5 Mg 0.333 0.667 0.161
6 Mg 0.667 0.333 0.839
7 I 0.000 0.500 0.000
8 I 0.172 0.343 0.326
9 I 0.172 0.828 0.326
10 I 0.343 0.172 0.674
11 I 0.500 0.000 0.000
12 I 0.500 0.500 0.000
13 I 0.657 0.828 0.326
14 I 0.828 0.172 0.674
15 I 0.828 0.657 0.674


Record 4
The following is a DFT calculation (PBE) of a relaxed structure of Cd2Br2Cl.

Output
Offset from the most stable computed form (meV per atom): 119

abc: 7.700 7.700 4.272
angles: 90.00 90.00 90.00
Sites, in units of the cell vectors:
1 Cd 0.162 0.338 0.000
2 Cd 0.338 0.838 0.000
3 Cd 0.662 0.162 0.000
4 Cd 0.838 0.662 0.000
5 Br 0.162 0.662 0.500
6 Br 0.338 0.162 0.500
7 Br 0.662 0.838 0.500
8 Br 0.838 0.338 0.500
9 Cl 0.000 0.000 0.000
10 Cl 0.500 0.500 0.000


Record 5
The following is a DFT calculation (PBE) of a relaxed structure of Li2TcW.

Output
Offset from the most stable computed form (meV per atom): 147

abc: 5.414 5.414 2.560
angles: 97.72 97.72 123.90
Sites, in units of the cell vectors:
1 Li 0.000 0.500 0.000
2 Li 0.500 0.000 0.000
3 Tc 0.000 0.000 0.500
4 W 0.500 0.500 0.500


Record 6
The following is a DFT calculation (PBE) of a relaxed structure of YNiBiRu2.

Output
VASP energy (eV per cell): -25.1

abc: 4.836 4.836 5.769
angles: 90.00 90.00 90.00
Sites, in units of the cell vectors:
1 Y 0.000 0.000 0.000
2 Ni 0.500 0.500 0.500
3 Bi 0.000 0.000 0.500
4 Ru 0.000 0.500 0.000
5 Ru 0.500 0.000 0.000


Record 7
The following is a DFT calculation (PBE) of a relaxed structure of Nd4P6Rh7.

Output
VASP energy (eV per cell): -120.1

abc: 7.251 7.251 7.251
angles: 109.47 109.47 109.47
Sites, in units of the cell vectors:
1 Nd 0.000 0.000 0.500
2 Nd 0.000 0.500 0.000
3 Nd 0.500 0.000 0.000
4 Nd 0.500 0.500 0.500
5 P 0.000 0.331 0.331
6 P 0.000 0.669 0.669
7 P 0.331 0.000 0.331
8 P 0.331 0.331 0.000
9 P 0.669 0.000 0.669
10 P 0.669 0.669 0.000
11 Rh 0.000 0.000 0.000
12 Rh 0.250 0.500 0.750
13 Rh 0.250 0.750 0.500
14 Rh 0.500 0.250 0.750
15 Rh 0.500 0.750 0.250
16 Rh 0.750 0.250 0.500
17 Rh 0.750 0.500 0.250


Record 8
The following is a DFT calculation (PBE) of a relaxed structure of Ce2Ga6Tc.

Output
Offset from the most stable computed form (meV per atom): 0

abc: 6.280 6.280 6.280
angles: 60.00 60.00 60.00
Sites, in units of the cell vectors:
1 Ce 0.250 0.250 0.250
2 Ce 0.750 0.750 0.750
3 Ga 0.216 0.216 0.784
4 Ga 0.216 0.784 0.216
5 Ga 0.216 0.784 0.784
6 Ga 0.784 0.216 0.216
7 Ga 0.784 0.216 0.784
8 Ga 0.784 0.784 0.216
9 Tc 0.500 0.500 0.500


Record 9
The following is a DFT calculation (PBE) of a relaxed structure of HgRu2RhBr.

Output
VASP energy (eV per cell): -20.8

abc: 4.890 4.890 4.867
angles: 90.00 90.00 90.00
Sites, in units of the cell vectors:
1 Hg 0.000 0.000 0.000
2 Ru 0.000 0.500 0.500
3 Ru 0.500 0.000 0.500
4 Rh 0.500 0.500 0.500
5 Br 0.500 0.500 0.000


Record 10
The following is a DFT calculation (PBE) of a relaxed structure of BaAcPdPt.

Output
Offset from the most stable computed form (meV per atom): 48

abc: 5.403 5.403 5.403
angles: 60.00 60.00 60.00
Sites, in units of the cell vectors:
1 Ba 0.000 0.000 0.000
2 Ac 0.500 0.500 0.500
3 Pd 0.250 0.250 0.250
4 Pt 0.750 0.750 0.750


Record 11
The following is a DFT calculation (PBE) of a relaxed structure of NiAuS2.

Output
VASP energy (eV per cell): -36.3

abc: 3.417 3.417 14.029
angles: 90.00 90.00 120.00
Sites, in units of the cell vectors:
1 Ni 0.000 0.000 0.000
2 Ni 0.000 0.000 0.500
3 Au 0.333 0.667 0.250
4 Au 0.667 0.333 0.750
5 S 0.333 0.667 0.084
6 S 0.333 0.667 0.416
7 S 0.667 0.333 0.584
8 S 0.667 0.333 0.916


Record 12
The following is a DFT calculation (PBE) of a relaxed structure of USnAu.

Output
VASP energy (eV per cell): -17.8

abc: 8.727 8.727 8.727
angles: 161.02 161.02 26.96
Sites, in units of the cell vectors:
1 U 0.000 0.000 0.000
2 Sn 0.344 0.344 0.000
3 Au 0.172 0.172 0.000


Number 1: magnetic moment 1.11 μB/f.u.. Number 2: magnetic moment 0.00 μB/f.u.. Number 3: magnetic moment 0.00 μB/f.u.. Number 4: magnetic moment 0.00 μB/f.u.. Number 5: magnetic moment 0.00 μB/f.u.. Number 6: magnetic moment 2.96 μB/f.u.. Number 7: magnetic moment 0.00 μB/f.u.. Number 8: magnetic moment 1.42 μB/f.u.. Number 9: magnetic moment 4.69 μB/f.u.. Number 10: magnetic moment 0.00 μB/f.u.. Number 11: magnetic moment 0.00 μB/f.u.. Number 12: magnetic moment 1.98 μB/f.u..